Entry 1:
! SiHgTe2 (meta-GGA SCAN, single point on PBEsol structure); values from VASP
! Calculated total energy   -150.3 eV per cell
! E_form (uncorrected)   2.37 eV per formula unit
&SYSTEM
  ibrav = 0, nat = 4, ntyp = 3
/
ATOMIC_SPECIES
Si 28.09 Si.upf
Te 127.60 Te.upf
Hg 200.59 Hg.upf
CELL_PARAMETERS angstrom
-2.9371 -1.7939 -2.6369
1.1316 -3.2907 -2.5861
-2.6465 -7.0517 4.1807
ATOMIC_POSITIONS angstrom
Si 0.0000 0.0000 0.0000
Te -2.4101 -6.6686 -3.4719
Te -2.0419 -5.4677 2.4297
Hg -2.2260 -6.0681 -0.5211

Entry 2:
! Cs2AsIr (meta-GGA SCAN, single point on PBEsol structure); values from VASP
! Calculated total energy   -334.6 eV per cell
! Energy of formation   -0.10 eV/atom
&SYSTEM
  ibrav = 0, nat = 8, ntyp = 3
/
ATOMIC_SPECIES
Cs 132.91 Cs.upf
As 74.92 As.upf
Ir 192.22 Ir.upf
CELL_PARAMETERS angstrom
4.5802 0.0000 0.0000
2.2901 8.8284 0.0000
2.2901 0.0000 8.8284
ATOMIC_POSITIONS angstrom
Cs 6.2977 7.4195 3.0053
Cs 6.2977 1.4088 5.8230
Cs 5.1527 5.8230 7.4195
Cs 5.1527 3.0053 1.4088
As 2.2901 0.0000 0.0000
As 3.4351 4.4142 4.4142
Ir 0.0000 0.0000 0.0000
Ir 5.7252 4.4142 4.4142

Entry 3:
! Cs2CoBr (meta-GGA SCAN, single point on PBEsol structure); values from VASP
! Calculated total energy   -114.1 eV per cell
! E_form (uncorrected)   -1.68 eV per formula unit
&SYSTEM
  ibrav = 0, nat = 4, ntyp = 3
/
ATOMIC_SPECIES
Cs 132.91 Cs.upf
Co 58.93 Co.upf
Br 79.90 Br.upf
CELL_PARAMETERS angstrom
6.0516 0.0000 0.0000
3.0258 5.2409 0.0000
3.0258 1.7470 4.9411
ATOMIC_POSITIONS angstrom
Cs 3.0258 1.7470 1.2353
Cs 9.0774 5.2409 3.7059
Co 0.0000 0.0000 0.0000
Br 6.0516 3.4939 2.4706

Entry 4:
! TaRh3Pb (meta-GGA SCAN, single point on PBEsol structure); values from VASP
! Calculated total energy   -240.1 eV per cell
! Energy of formation   0.71 eV/atom
&SYSTEM
  ibrav = 0, nat = 5, ntyp = 3
/
ATOMIC_SPECIES
Pb 207.20 Pb.upf
Rh 102.91 Rh.upf
Ta 180.95 Ta.upf
CELL_PARAMETERS angstrom
4.7101 0.0000 0.0000
0.0000 4.7101 0.0000
0.0000 0.0000 4.7101
ATOMIC_POSITIONS angstrom
Pb 2.3550 2.3550 2.3550
Rh 0.0000 2.3550 0.0000
Rh 0.0000 0.0000 2.3550
Rh 2.3550 0.0000 0.0000
Ta 0.0000 0.0000 0.0000

Entry 5:
! RbHf3Pt (meta-GGA SCAN, single point on PBEsol structure); values from VASP
! Calculated total energy   -276.9 eV per cell
! Energy of formation   0.42 eV/atom
&SYSTEM
  ibrav = 0, nat = 5, ntyp = 3
/
ATOMIC_SPECIES
Hf 178.49 Hf.upf
Rb 85.47 Rb.upf
Pt 195.08 Pt.upf
CELL_PARAMETERS angstrom
5.1594 0.0000 0.0000
0.0000 5.1594 0.0000
0.0000 0.0000 5.1594
ATOMIC_POSITIONS angstrom
Hf 0.0000 2.5797 0.0000
Hf 0.0000 0.0000 2.5797
Hf 2.5797 0.0000 0.0000
Rb 2.5797 2.5797 2.5797
Pt 0.0000 0.0000 0.0000

Entry 6:
! LaFe3Cu (meta-GGA SCAN, single point on PBEsol structure); values from VASP
! Calculated total energy   -109.9 eV per cell
! Energy of formation   0.55 eV/atom
&SYSTEM
  ibrav = 0, nat = 5, ntyp = 3
/
ATOMIC_SPECIES
Fe 55.84 Fe.upf
Cu 63.55 Cu.upf
La 138.91 La.upf
CELL_PARAMETERS angstrom
-2.3547 -2.5888 -2.7698
3.6780 -2.3508 -0.9298
-0.9196 -2.7732 3.3737
ATOMIC_POSITIONS angstrom
Fe 1.8390 -1.1754 -0.4649
Fe -0.4598 -1.3866 1.6869
Fe -1.1774 -1.2944 -1.3849
Cu 0.0000 0.0000 0.0000
La 0.2018 -3.8564 -0.1629

- What is the calculated total energy in the second record?
  -334.6 eV per cell

- Among the records above, which one has the lowest calculated total energy?
  Cs2AsIr

- The highest calculated total energy belongs to which entry?
  LaFe3Cu